MnTlH2OF4 | PBE+U | optimized geometry

Cell: 7.704 7.704 10.788 Å, 77.91 77.91 52.02°
Positions (direct):
Mn 0.500 0.000 0.000
Mn 0.761 0.239 0.750
Mn 0.239 0.761 0.250
Mn 0.000 0.500 0.500
F 0.972 0.889 0.183
F 0.361 0.490 0.189
F 0.639 0.510 0.811
F 0.271 0.230 0.535
F 0.230 0.271 0.035
F 0.148 0.640 0.435
F 0.889 0.972 0.683
F 0.111 0.028 0.317
F 0.729 0.770 0.465
F 0.490 0.361 0.689
F 0.360 0.852 0.065
F 0.510 0.639 0.311
F 0.770 0.729 0.965
F 0.028 0.111 0.817
F 0.640 0.148 0.935
F 0.852 0.360 0.565
H 0.092 0.264 0.303
H 0.908 0.736 0.697
H 0.178 0.410 0.253
H 0.822 0.590 0.747
H 0.264 0.092 0.803
H 0.736 0.908 0.197
H 0.410 0.178 0.753
H 0.590 0.822 0.247
Tl 0.182 0.653 0.940
Tl 0.347 0.818 0.560
Tl 0.653 0.182 0.440
Tl 0.818 0.347 0.060
O 0.589 0.944 0.195
O 0.411 0.056 0.805
O 0.944 0.589 0.695
O 0.056 0.411 0.305

Computed properties:
magnetization	0.444	μB/atom
symmetry	No. 15
crystal system	monoclinic
E_tot	-183.8	eV for the cell shown

***

MnVH4O2F5 | PBE+U | optimized geometry

Cell: 6.626 7.565 7.565 Å, 61.81 115.99 115.98°
Positions (direct):
H 0.522 0.009 0.806
H 0.207 0.694 0.491
H 0.793 0.306 0.509
H 0.207 0.491 0.694
H 0.478 0.194 0.991
H 0.478 0.991 0.194
H 0.522 0.806 0.009
H 0.793 0.509 0.306
F 0.672 0.414 0.836
F 0.923 0.664 0.086
F 0.078 0.750 0.750
F 0.077 0.336 0.914
F 0.923 0.086 0.664
F 0.328 0.164 0.586
F 0.672 0.836 0.414
F 0.077 0.914 0.336
F 0.922 0.250 0.250
F 0.328 0.586 0.164
O 0.625 0.930 0.930
O 0.375 0.070 0.070
O 0.734 0.430 0.430
O 0.266 0.570 0.570
V 0.000 0.500 0.000
V 0.000 0.000 0.500
Mn 0.500 0.500 0.500
Mn 0.000 0.000 0.000

Computed properties:
magnetization	0.538	μB/atom
symmetry	No. 74
crystal system	orthorhombic
E_tot	-147.2	eV for the cell shown

***

Mn2PHF | PBE+U | optimized geometry

Cell: 4.455 3.504 4.455 Å, 90.00 90.00 90.00°
Positions (direct):
Mn 0.000 0.000 0.500
Mn 0.500 0.000 0.000
H 0.000 0.500 0.000
F 0.000 0.000 0.000
P 0.500 0.500 0.500

Computed properties:
magnetization	1.875	μB/atom
symmetry	No. 123
crystal system	tetragonal
E_tot	-26.3	eV for the cell shown

***

- What is the E_tot in the third record?
  -26.3 eV for the cell shown

***

- magnetization of number 3 (Mn2PHF)?
  1.875 μB/atom